The following is a DFT calculation (PBE-GGA) of a geometry-optimized K2RbPuCl8 structure.

a b c (Å): 6.4732 6.7120 9.9564
angles (deg): 90.00 90.00 95.67
Fractional coordinates of all 12 atoms:
1 Cl 0.6490 0.7850 0.0000
2 Cl 0.1165 0.7742 0.8113
3 Cl 0.4830 0.2365 0.5000
4 Cl 0.3510 0.2150 0.0000
5 Cl 0.1164 0.7741 0.1887
6 Cl 0.8836 0.2259 0.8113
7 Cl 0.5170 0.7635 0.5000
8 Cl 0.8835 0.2258 0.1887
9 Pu 0.0000 0.0000 0.0000
10 K 0.5000 0.5000 0.7544
11 K 0.5000 0.5000 0.2456
12 Rb 0.0000 0.0000 0.5000

The energy relative to the elements, uncorrected comes out at -1.668 eV/atom. The calculation puts the total magnetization at 0.350 μB per atom.


The following is a DFT calculation (PBE-GGA) of a geometry-optimized Sr2CaBiS structure.

a b c (Å): 5.7255 5.7255 5.3532
angles (deg): 90.00 90.00 90.00
Fractional coordinates of all 5 atoms:
1 Sr 0.0000 0.5000 0.0000
2 Sr 0.5000 0.0000 0.0000
3 Bi 0.5000 0.5000 0.5000
4 Ca 0.0000 0.0000 0.5000
5 S 0.0000 0.0000 0.0000

The energy relative to the elements, uncorrected comes out at -1.107 eV/atom. The calculation puts the total magnetization at 0.000 μB per atom.


The following is a DFT calculation (PBE-GGA) of a geometry-optimized ErPa2Tc9 structure.

a b c (Å): 5.1932 5.1932 9.6486
angles (deg): 74.39 74.39 60.00
Fractional coordinates of all 12 atoms:
1 Tc 0.5000 0.5000 0.5000
2 Tc 0.5843 0.5843 0.7554
3 Tc 0.4157 0.4157 0.2446
4 Tc 0.0760 0.5843 0.7554
5 Tc 0.6638 0.6638 0.0087
6 Tc 0.3362 0.3362 0.9913
7 Tc 0.9240 0.4157 0.2446
8 Tc 0.4157 0.9240 0.2446
9 Tc 0.5843 0.0760 0.7554
10 Pa 0.8537 0.8537 0.4389
11 Pa 0.1463 0.1463 0.5611
12 Er 0.0000 0.0000 0.0000

The calculation puts the formation energy at -74 meV/atom. The calculation puts the total magnetization at 0.000 μB per atom.